(1)
Entry from Alexandria: a relaxed structure of FeOsPdCl2 (PBE-GGA).

Unit cell a=4.637 b=4.637 c=5.188 alpha=90.00 beta=90.00 gamma=90.00
Space group P4/mmm (No. 123)
Asymmetric unit:
Fe1 0.000 0.000 0.000 x1
Os1 0.500 0.500 0.000 x1
Pd1 0.000 0.000 0.500 x1
Cl1 0.000 0.500 0.500 x2

Summary:
* formation energy without anion corrections: 1455 meV/atom
* M_tot: 7.371 μB/f.u.
* electronic total energy: -4.261 eV/atom


(2)
Entry from Alexandria: a relaxed structure of Ce2PmGe2Au2 (PBE-GGA).

Unit cell a=4.4476 b=4.4476 c=27.7916 alpha=90.00 beta=90.00 gamma=120.00
Space group R-3m (No. 166, hexagonal axes)
Asymmetric unit:
Ce1 0.0000 0.0000 0.1417 x6
Pm1 0.0000 0.0000 0.0000 x3
Ge1 0.0000 0.0000 0.2587 x6
Au1 0.0000 0.0000 0.4038 x6

Summary:
* M_tot: 1.683 μB/f.u.
* electronic total energy: -5.251 eV/atom
* energy of formation: -0.62 eV/atom


(3)
Entry from Alexandria: a relaxed structure of Li9SmAg2 (PBE-GGA).

Unit cell a=11.218 b=11.218 c=7.374 alpha=90.00 beta=90.00 gamma=90.00
Space group I4_1/amd (No. 141, origin choice 2)
Asymmetric unit:
Li1 0.000 0.250 0.375 x4
Li2 0.120 0.048 0.185 x32
Sm1 0.000 0.250 0.875 x4
Ag1 0.000 0.000 0.500 x8

Summary:
* M_tot: 0.000 μB/f.u.
* electronic total energy: -2.346 eV/atom
* energy of formation: -0.04 eV/atom


(4)
Entry from Alexandria: a relaxed structure of Ta2CrP (PBE-GGA).

Unit cell a=4.045 b=4.045 c=7.313 alpha=90.00 beta=90.00 gamma=90.00
Space group I4/mmm (No. 139)
Asymmetric unit:
Ta1 0.000 0.500 0.250 x4
Cr1 0.000 0.000 0.000 x2
P1 0.000 0.000 0.500 x2

Summary:
* M_tot: 0.000 μB/f.u.
* electronic total energy: -9.712 eV/atom
* energy of formation: -0.03 eV/atom


(5)
Entry from Alexandria: a relaxed structure of EuDy2F (PBE-GGA).

Unit cell a=3.6841 b=3.6841 c=28.2660 alpha=90.00 beta=90.00 gamma=120.00
Space group R-3m (No. 166, hexagonal axes)
Asymmetric unit:
Eu1 0.0000 0.0000 0.0000 x3
Dy1 0.0000 0.0000 0.1194 x6
F1 0.0000 0.0000 0.5000 x3

Summary:
* formation energy without anion corrections: -906 meV/atom
* M_tot: 7.702 μB/f.u.
* electronic total energy: -6.244 eV/atom


(6)
Entry from Alexandria: a relaxed structure of CrCdMo (PBE-GGA).

Unit cell a=4.4861 b=4.4861 c=2.7021 alpha=90.00 beta=90.00 gamma=120.00
Space group P3m1 (No. 156)
Asymmetric unit:
Cr1 0.0000 0.0000 0.0000 x1
Cd1 0.6667 0.3333 0.6452 x1
Mo1 0.3333 0.6667 0.2247 x1

Summary:
* M_tot: 0.000 μB/f.u.
* electronic total energy: -6.640 eV/atom
* energy of formation: 0.48 eV/atom


(7)
Entry from Alexandria: a relaxed structure of La7Pr4Ho (PBE-GGA).

Unit cell a=6.425 b=7.406 c=9.825 alpha=78.96 beta=71.14 gamma=89.88
Space group P-1 (No. 2)
Asymmetric unit:
La1 0.000 0.000 0.000 x1
La2 0.166 0.417 0.332 x2
La3 0.333 0.832 0.669 x2
La4 0.499 0.254 0.000 x2
Pr1 0.168 0.916 0.333 x2
Pr2 0.333 0.334 0.668 x2
Ho1 0.000 0.500 0.000 x1

Summary:
* M_tot: 0.000 μB/f.u.
* electronic total energy: -4.835 eV/atom
* energy of formation: 0.01 eV/atom


(8)
Entry from Alexandria: a relaxed structure of Y2MgPt (PBE-GGA).

Unit cell a=4.314 b=4.314 c=9.989 alpha=90.00 beta=90.00 gamma=90.00
Space group I-4m2 (No. 119)
Asymmetric unit:
Y1 0.000 0.000 0.000 x2
Y2 0.000 0.500 0.250 x2
Mg1 0.000 0.500 0.750 x2
Pt1 0.000 0.000 0.500 x2

Summary:
* M_tot: 0.000 μB/f.u.
* electronic total energy: -5.589 eV/atom
* energy of formation: -0.45 eV/atom


(9)
Entry from Alexandria: a relaxed structure of ScAlBi2Os (PBE-GGA).

Unit cell a=5.290 b=5.290 c=5.025 alpha=90.00 beta=90.00 gamma=90.00
Space group P4/mmm (No. 123)
Asymmetric unit:
Sc1 0.000 0.000 0.000 x1
Al1 0.500 0.500 0.000 x1
Bi1 0.000 0.500 0.500 x2
Os1 0.000 0.000 0.500 x1

Summary:
* M_tot: 0.000 μB/f.u.
* electronic total energy: -5.275 eV/atom
* energy of formation: 0.54 eV/atom


(10)
Entry from Alexandria: a relaxed structure of Al2CdRh (PBE-GGA).

Unit cell a=6.377 b=6.377 c=6.377 alpha=90.00 beta=90.00 gamma=90.00
Space group F-43m (No. 216)
Asymmetric unit:
Al1 0.000 0.000 0.000 x4
Al2 0.250 0.250 0.250 x4
Cd1 0.000 0.000 0.500 x4
Rh1 0.250 0.250 0.750 x4

Summary:
* M_tot: 0.000 μB/f.u.
* electronic total energy: -4.060 eV/atom
* energy of formation: -0.12 eV/atom


(11)
Entry from Alexandria: a relaxed structure of Pm3Ga2Ag9 (PBE-GGA).

Unit cell a=4.653 b=10.173 c=12.638 alpha=90.00 beta=90.00 gamma=90.00
Space group Immm (No. 71)
Asymmetric unit:
Pm1 0.000 0.000 0.000 x2
Pm2 0.000 0.000 0.301 x4
Ga1 0.000 0.186 0.500 x4
Ag1 0.000 0.279 0.128 x8
Ag2 0.000 0.366 0.342 x8
Ag3 0.000 0.500 0.000 x2

Summary:
* M_tot: 0.000 μB/f.u.
* electronic total energy: -3.498 eV/atom
* energy of formation: -0.21 eV/atom


(12)
Entry from Alexandria: a relaxed structure of Er3TmSc2 (PBE-GGA).

Unit cell a=22.400 b=3.357 c=9.776 alpha=90.00 beta=108.01 gamma=90.00
Space group C2/m (No. 12)
Asymmetric unit:
Er1 0.059 0.000 0.432 x4
Er2 0.070 0.500 0.772 x4
Er3 0.197 0.000 0.709 x4
Tm1 0.186 0.000 0.043 x4
Sc1 0.072 0.500 0.137 x4
Sc2 0.192 0.000 0.372 x4

Summary:
* M_tot: 0.000 μB/f.u.
* electronic total energy: -4.991 eV/atom
* energy of formation: 0.15 eV/atom


Q: electronic total energy of number 12 (Er3TmSc2)?
A: -4.991 eV/atom


Q: Among the records above, which one has the highest electronic total energy?
A: Li9SmAg2